{"formula": "PmCrO3", "functional": "GGA+U", "state": "relaxed", "lattice_angstrom": [[5.299, 0.061, 1.567], [2.417, 4.716, 1.567], [0.050, 0.031, 9.595]], "species": ["O", "O", "Cr", "Cr", "O", "Pm", "O", "O", "O", "O", "Pm", "Pm", "O", "O", "Pm", "O", "O", "Cr", "O", "Cr"], "fractional_positions": [[0.670, 0.180, 0.075], [0.158, 0.147, 0.156], [0.000, 0.500, 0.500], [0.500, 0.000, 0.000], [0.650, 0.661, 0.651], [0.125, 0.607, 0.134], [0.339, 0.350, 0.849], [0.180, 0.670, 0.575], [0.147, 0.158, 0.656], [0.820, 0.330, 0.425], [0.607, 0.125, 0.634], [0.393, 0.875, 0.366], [0.842, 0.853, 0.844], [0.661, 0.650, 0.151], [0.875, 0.393, 0.866], [0.350, 0.339, 0.349], [0.330, 0.820, 0.925], [0.246, 0.754, 0.750], [0.853, 0.842, 0.344], [0.754, 0.246, 0.250]], "magmom_total_mub_per_fu": 3.00, "e_tot_ev_per_cell": -163.1}